VASP calculation (PBE-GGA) on a relaxed structure of SrCoRh2.

Unit cell a=4.8484 b=4.8484 c=8.6220 alpha=73.67 beta=73.67 gamma=90.00
Closest atoms and distances in Å follow each position.
Fractional positions:
Sr 0.0000 0.0000 0.0000  4 Rh 3.10, 4 Co 3.43
Sr 0.7500 0.2500 0.5000  4 Rh 3.10, 4 Co 3.43
Rh 0.3001 0.1250 0.2500  2 Co 2.35, 2 Rh 2.53
Rh 0.4499 0.6250 0.2500  2 Co 2.35, 2 Rh 2.53
Rh 0.3750 0.6999 0.7500  2 Co 2.35, 2 Rh 2.53
Rh 0.8750 0.5501 0.7500  2 Co 2.35, 2 Rh 2.53
Co 0.5000 0.5000 0.0000  4 Rh 2.35
Co 0.2500 0.7500 0.5000  4 Rh 2.35

Computed properties:
Symmetry: I-42d, No. 122
Uncorrected energy in eV per cell: -44.12
Volume in Å³/cell: 186.0

---

VASP calculation (PBE-GGA) on a relaxed structure of SrCo2Rh.

Unit cell a=3.9598 b=3.1622 c=6.0470 alpha=74.83 beta=90.00 gamma=90.00
Closest atoms and distances in Å follow each position.
Fractional positions:
Co 0.0000 0.1520 0.0716  2 Co 2.27, 2 Rh 2.49
Co 0.5000 0.0571 0.2608  2 Co 2.27
Rh 0.0000 0.4862 0.4021  6 Co 2.49-2.66
Sr 0.5000 0.8047 0.7655  7 Co 2.95-3.29, 2 Sr 3.16

Computed properties:
Symmetry: Amm2, No. 38
Uncorrected energy in eV per cell: -21.76
Volume in Å³/cell: 73.1

---

VASP calculation (PBE-GGA) on a relaxed structure of SrCo2Rh.

Unit cell a=2.9685 b=3.5678 c=6.7170 alpha=90.00 beta=90.00 gamma=90.00
Closest atoms and distances in Å follow each position.
Fractional positions:
Co 0.0000 0.0000 0.0792  1 Co 2.29
Co 0.0000 0.0000 0.4208  1 Co 2.29
Rh 0.5000 0.5000 0.2500  8 Co 2.59
Sr 0.5000 0.5000 0.7500  2 Sr 2.97, 8 Co 3.21

Computed properties:
Symmetry: Pmmm, No. 47
Uncorrected energy in eV per cell: -21.62
Volume in Å³/cell: 71.1

---

VASP calculation (PBE-GGA) on a relaxed structure of SrCo2Rh2.

Unit cell a=7.5882 b=7.5882 c=2.7889 alpha=90.00 beta=90.00 gamma=90.00
Closest atoms and distances in Å follow each position.
Fractional positions:
Sr 0.0000 0.0000 0.0000  2 Sr 2.79, 4 Rh 2.99
Sr 0.5000 0.5000 0.0000  2 Sr 2.79, 4 Rh 2.99
Rh 0.3739 0.8739 0.0000  6 Co 2.63-2.64, 3 Rh 2.71-2.79
Rh 0.8739 0.6261 0.0000  6 Co 2.63-2.64, 3 Rh 2.71-2.79
Rh 0.6261 0.1261 0.0000  6 Co 2.63-2.64, 3 Rh 2.71-2.79
Rh 0.1261 0.3739 0.0000  6 Co 2.63-2.64, 3 Rh 2.71-2.79
Co 0.1660 0.6660 0.5000  6 Rh 2.63-2.64, 2 Co 2.79
Co 0.6660 0.8340 0.5000  6 Rh 2.63-2.64, 2 Co 2.79
Co 0.8340 0.3340 0.5000  6 Rh 2.63-2.64, 2 Co 2.79
Co 0.3340 0.1660 0.5000  6 Rh 2.63-2.64, 2 Co 2.79

Computed properties:
Symmetry: P4/mbm, No. 127
Uncorrected energy in eV per cell: -58.99
Volume in Å³/cell: 160.6

---

VASP calculation (PBE-GGA) on a relaxed structure of Sr3CoRh.

Unit cell a=5.6862 b=5.6862 c=5.6862 alpha=90.00 beta=90.00 gamma=90.00
Closest atoms and distances in Å follow each position.
Fractional positions:
Sr 0.0000 0.5000 0.0000  2 Rh 2.84
Sr 0.0000 0.0000 0.5000  2 Rh 2.84
Sr 0.5000 0.0000 0.0000  2 Rh 2.84
Rh 0.0000 0.0000 0.0000  6 Sr 2.84
Co 0.5000 0.5000 0.5000  12 Sr 4.02

Computed properties:
Symmetry: Pm-3m, No. 221
Uncorrected energy in eV per cell: -17.25
Volume in Å³/cell: 183.9

---

VASP calculation (PBE-GGA) on a relaxed structure of SrCo2Rh2.

Unit cell a=7.5877 b=7.5877 c=2.7899 alpha=90.00 beta=90.00 gamma=90.00
Closest atoms and distances in Å follow each position.
Fractional positions:
Sr 0.0000 0.0000 0.0000  2 Sr 2.79, 4 Co 3.05
Sr 0.5000 0.5000 0.0000  2 Sr 2.79, 4 Co 3.05
Rh 0.1712 0.6712 0.5000  6 Co 2.61-2.69, 2 Rh 2.79
Rh 0.6712 0.8288 0.5000  6 Co 2.61-2.69, 2 Rh 2.79
Rh 0.8288 0.3288 0.5000  6 Co 2.61-2.69, 2 Rh 2.79
Rh 0.3288 0.1712 0.5000  6 Co 2.61-2.69, 2 Rh 2.79
Co 0.3861 0.8861 0.0000  1 Co 2.45, 6 Rh 2.61-2.69
Co 0.8861 0.6139 0.0000  1 Co 2.45, 6 Rh 2.61-2.69
Co 0.6139 0.1139 0.0000  1 Co 2.45, 6 Rh 2.61-2.69
Co 0.1139 0.3861 0.0000  1 Co 2.45, 6 Rh 2.61-2.69

Computed properties:
Symmetry: P4/mbm, No. 127
Uncorrected energy in eV per cell: -59.46
Volume in Å³/cell: 160.6

---

VASP calculation (PBE-GGA) on a relaxed structure of SrCoRh.

Unit cell a=4.5813 b=4.5813 c=4.5813 alpha=60.00 beta=60.00 gamma=60.00
Closest atoms and distances in Å follow each position.
Fractional positions:
Co 0.5000 0.5000 0.5000  4 Rh 2.81
Rh 0.7500 0.7500 0.7500  4 Sr 2.81, 4 Co 2.81
Sr 0.0000 0.0000 0.0000  4 Rh 2.81

Computed properties:
Symmetry: F-43m, No. 216
Uncorrected energy in eV per cell: -14.46
Volume in Å³/cell: 68.0

---

VASP calculation (PBE-GGA) on a relaxed structure of SrCo2Rh.

Unit cell a=3.0844 b=3.0844 c=7.1681 alpha=90.00 beta=90.00 gamma=90.00
Closest atoms and distances in Å follow each position.
Fractional positions:
Co 0.0000 0.0000 0.0835  4 Co 2.42, 1 Rh 2.54
Co 0.5000 0.5000 0.2293  4 Co 2.42, 4 Rh 2.64
Rh 0.0000 0.0000 0.4377  5 Co 2.54-2.64
Sr 0.5000 0.5000 0.7496  4 Sr 3.08, 4 Rh 3.12, 5 Co 3.24-3.44

Computed properties:
Symmetry: P4mm, No. 99
Uncorrected energy in eV per cell: -21.95
Volume in Å³/cell: 68.2

---

VASP calculation (PBE-GGA) on a relaxed structure of SrCoRh2.

Unit cell a=4.3300 b=4.3300 c=5.8467 alpha=68.27 beta=68.27 gamma=60.00
Closest atoms and distances in Å follow each position.
Fractional positions:
Co 0.3149 0.3149 0.0550  6 Rh 2.51-2.58
Rh 0.9962 0.9962 0.0110  3 Co 2.51, 3 Rh 2.53
Rh 0.6883 0.6883 0.9348  3 Rh 2.53, 3 Co 2.58
Sr 0.5007 0.5007 0.4992  1 Co 2.94, 1 Rh 2.98

Computed properties:
Symmetry: R3m, No. 160
Uncorrected energy in eV per cell: -23.51
Volume in Å³/cell: 85.8

---

VASP calculation (PBE-GGA) on a relaxed structure of SrCo2Rh2.

Unit cell a=4.2643 b=4.2643 c=5.8413 alpha=68.59 beta=68.59 gamma=90.00
Closest atoms and distances in Å follow each position.
Fractional positions:
Sr 0.0000 0.0000 0.0000  8 Rh 3.28, 8 Co 3.29
Rh 0.3700 0.3700 0.2600  4 Co 2.45, 1 Rh 2.60
Rh 0.6300 0.6300 0.7400  4 Co 2.45, 1 Rh 2.60
Co 0.7500 0.2500 0.5000  4 Rh 2.45
Co 0.2500 0.7500 0.5000  4 Rh 2.45

Computed properties:
Symmetry: I4/mmm, No. 139
Uncorrected energy in eV per cell: -30.05
Volume in Å³/cell: 91.0

---

VASP calculation (PBE-GGA) on a relaxed structure of Sr2CoRh.

Unit cell a=8.8680 b=8.8680 c=8.8680 alpha=24.41 beta=24.41 gamma=24.41
Closest atoms and distances in Å follow each position.
Fractional positions:
Co 0.2500 0.2500 0.2500  6 Sr 3.10
Rh 0.7500 0.7500 0.7500  6 Sr 3.00
Sr 0.0026 0.0026 0.0026  3 Rh 3.00, 3 Co 3.10
Sr 0.4974 0.4974 0.4974  3 Rh 3.00, 3 Co 3.10

Computed properties:
Symmetry: R-3m, No. 166
Uncorrected energy in eV per cell: -15.70
Volume in Å³/cell: 104.7

---

VASP calculation (PBE-GGA) on a relaxed structure of SrCoRh2.

Unit cell a=3.9742 b=4.2063 c=4.2063 alpha=90.00 beta=90.00 gamma=90.00
Closest atoms and distances in Å follow each position.
Fractional positions:
Co 0.5000 0.0000 0.5000  8 Rh 2.89, 4 Sr 2.97
Rh 0.0000 0.0000 0.0000  4 Co 2.89, 4 Sr 2.89, 4 Rh 2.97
Rh 0.0000 0.5000 0.5000  4 Sr 2.89, 4 Co 2.89, 4 Rh 2.97
Sr 0.5000 0.5000 0.0000  8 Rh 2.89, 4 Co 2.97

Computed properties:
Symmetry: P4/mmm, No. 123
Uncorrected energy in eV per cell: -21.79
Volume in Å³/cell: 70.3

---

VASP calculation (PBE-GGA) on a relaxed structure of SrCo2Rh.

Unit cell a=4.4268 b=3.2757 c=5.5804 alpha=78.33 beta=90.00 gamma=90.00
Closest atoms and distances in Å follow each position.
Fractional positions:
Co 0.0000 0.0372 0.1138  2 Co 2.17-2.26
Co 0.0000 0.4628 0.3862  2 Co 2.17-2.26
Rh 0.5000 0.2500 0.2500  4 Co 2.49
Sr 0.5000 0.7500 0.7500  2 Rh 2.94, 4 Co 3.27, 2 Sr 3.28

Computed properties:
Symmetry: P2/m, No. 10
Uncorrected energy in eV per cell: -21.54
Volume in Å³/cell: 79.2

---

VASP calculation (PBE-GGA) on a relaxed structure of SrCoRh2.

Unit cell a=4.9198 b=4.9198 c=2.9599 alpha=90.00 beta=90.00 gamma=105.61
Closest atoms and distances in Å follow each position.
Fractional positions:
Co 0.0000 0.5000 0.5000  8 Rh 2.87, 2 Co 2.96, 2 Sr 2.97
Rh 0.0000 0.0000 0.0000  4 Co 2.87, 4 Sr 2.87, 4 Rh 2.96-2.97
Rh 0.5000 0.5000 0.0000  4 Sr 2.87, 4 Co 2.87, 4 Rh 2.96-2.97
Sr 0.5000 0.0000 0.5000  8 Rh 2.87, 2 Sr 2.96, 2 Co 2.97

Computed properties:
Symmetry: Cmmm, No. 65
Uncorrected energy in eV per cell: -21.75
Volume in Å³/cell: 69.0

---

VASP calculation (PBE-GGA) on a relaxed structure of SrCo2Rh.

Unit cell a=5.8734 b=5.8734 c=5.8734 alpha=41.66 beta=41.66 gamma=41.66
Closest atoms and distances in Å follow each position.
Fractional positions:
Co 0.9368 0.9368 0.9368  3 Co 2.43, 3 Rh 2.51
Co 0.2522 0.2522 0.2522  3 Co 2.43, 3 Rh 2.44
Rh 0.5607 0.5607 0.5607  6 Co 2.44-2.51
Sr 0.7502 0.7502 0.7502  1 Co 3.00, 4 Rh 3.04-3.34

Computed properties:
Symmetry: R3m, No. 160
Uncorrected energy in eV per cell: -23.06
Volume in Å³/cell: 80.9

---

VASP calculation (PBE-GGA) on a relaxed structure of SrCoRh.

Unit cell a=4.6002 b=4.6002 c=4.6002 alpha=60.00 beta=60.00 gamma=60.00
Closest atoms and distances in Å follow each position.
Fractional positions:
Co 0.0000 0.0000 0.0000  4 Sr 2.82
Rh 0.5000 0.5000 0.5000  4 Sr 2.82
Sr 0.7500 0.7500 0.7500  4 Rh 2.82, 4 Co 2.82

Computed properties:
Symmetry: F-43m, No. 216
Uncorrected energy in eV per cell: -12.37
Volume in Å³/cell: 68.8

---

VASP calculation (PBE-GGA) on a relaxed structure of SrCoRh2.

Unit cell a=4.6168 b=4.6168 c=4.6168 alpha=60.00 beta=60.00 gamma=60.00
Closest atoms and distances in Å follow each position.
Fractional positions:
Sr 0.5000 0.5000 0.5000  8 Rh 2.83
Rh 0.2500 0.2500 0.2500  4 Co 2.83, 4 Sr 2.83
Rh 0.7500 0.7500 0.7500  4 Co 2.83, 4 Sr 2.83
Co 0.0000 0.0000 0.0000  8 Rh 2.83

Computed properties:
Symmetry: Fm-3m, No. 225
Uncorrected energy in eV per cell: -21.92
Volume in Å³/cell: 69.6

---

VASP calculation (PBE-GGA) on a relaxed structure of SrCo4Rh.

Unit cell a=5.0067 b=5.0067 c=5.0067 alpha=60.00 beta=60.00 gamma=60.00
Closest atoms and distances in Å follow each position.
Fractional positions:
Sr 0.0000 0.0000 0.0000  12 Co 2.94, 4 Rh 3.07
Co 0.8727 0.3758 0.3758  6 Co 2.49-2.52
Co 0.3758 0.3758 0.8727  6 Co 2.49-2.52
Co 0.3758 0.8727 0.3758  6 Co 2.49-2.52
Co 0.3758 0.3758 0.3758  6 Co 2.49-2.52
Rh 0.7500 0.7500 0.7500  12 Co 2.93, 4 Sr 3.07

Computed properties:
Symmetry: F-43m, No. 216
Uncorrected energy in eV per cell: -35.56
Volume in Å³/cell: 88.7

---

VASP calculation (PBE-GGA) on a relaxed structure of SrCo2Rh.

Unit cell a=4.5793 b=4.5793 c=4.5793 alpha=120.29 beta=120.29 gamma=89.50
Closest atoms and distances in Å follow each position.
Fractional positions:
Co 0.0000 0.0000 0.0000  4 Co 2.80, 4 Sr 2.80
Co 0.2500 0.7500 0.5000  4 Co 2.80, 4 Rh 2.80
Rh 0.5000 0.5000 0.0000  4 Sr 2.80, 4 Co 2.80
Sr 0.7500 0.2500 0.5000  4 Co 2.80, 4 Rh 2.80

Computed properties:
Symmetry: I-4m2, No. 119
Uncorrected energy in eV per cell: -20.82
Volume in Å³/cell: 67.6

---

VASP calculation (PBE-GGA) on a relaxed structure of SrCoRh.

Unit cell a=5.8391 b=5.8396 c=3.3854 alpha=73.14 beta=73.16 gamma=33.70
Closest atoms and distances in Å follow each position.
Fractional positions:
Co 0.9477 0.9477 0.0523  4 Rh 2.49
Rh 0.3837 0.3837 0.6163  4 Co 2.49
Sr 0.6685 0.6685 0.3315  1 Co 2.97, 5 Rh 3.03-3.31

Computed properties:
Symmetry: I4mm, No. 107
Uncorrected energy in eV per cell: -15.58
Volume in Å³/cell: 61.0

---

| no. | DOS at the Fermi energy (states/eV/cell) |
| --- | --- |
| 1 | 7.62 |
| 2 | 3.18 |
| 3 | 5.91 |
| 4 | 11.35 |
| 5 | 42.85 |
| 6 | 9.33 |
| 7 | 3.74 |
| 8 | 3.72 |
| 9 | 2.40 |
| 10 | 7.01 |
| 11 | 5.56 |
| 12 | 7.55 |
| 13 | 4.81 |
| 14 | 7.21 |
| 15 | 2.78 |
| 16 | 9.58 |
| 17 | 6.32 |
| 18 | 8.82 |
| 19 | 6.24 |
| 20 | 3.36 |